*a*
Computed, not measured: a geometry-optimized PrGdTm structure at the PBE level of DFT.

Properties
* total magnetic moment: 7.98 μB per formula unit

Cell and atoms, written as CIF:
```
data_PrGdTm
_cell_length_a 4.1693
_cell_length_b 4.1693
_cell_length_c 11.4854
_cell_angle_alpha 90.00
_cell_angle_beta 90.00
_cell_angle_gamma 90.00
_space_group_name_H-M_alt 'I 4 m m'
_space_group_IT_number 107
_space_group_name_Hall 'I 4 -2'
loop_
_atom_site_label
_atom_site_fract_x
_atom_site_fract_y
_atom_site_fract_z
Pr1 0.0000 0.0000 0.0000
Gd1 0.0000 0.0000 0.3221
Tm1 0.0000 0.0000 0.6679
```

=====

*b*
Computed, not measured: a geometry-optimized PrGdTm structure at the PBE level of DFT.

Properties
* total magnetic moment: 7.43 μB per formula unit

Cell and atoms, written as CIF:
```
data_PrGdTm
_cell_length_a 3.6065
_cell_length_b 3.6065
_cell_length_c 8.7679
_cell_angle_alpha 90.00
_cell_angle_beta 90.00
_cell_angle_gamma 120.00
_space_group_name_H-M_alt 'P 3 m 1'
_space_group_IT_number 156
loop_
_space_group_symop_operation_xyz
'x,y,z'
'-y,x-y,z'
'-x+y,-x,z'
'-y,-x,z'
'-x+y,y,z'
'x,x-y,z'
loop_
_atom_site_label
_atom_site_fract_x
_atom_site_fract_y
_atom_site_fract_z
Pr1 0.0000 0.0000 0.0000
Gd1 0.3333 0.6667 0.6571
Tm1 0.6667 0.3333 0.3315
```

=====

The energetic minimum among the shown structures is *b*; the next structure lies 70 meV/atom above.